{"formula": "Y4SiPbSe2", "functional": "PBE", "state": "optimized geometry", "lattice_angstrom": [[7.322, 0.000, 0.000], [0.000, 4.146, 0.000], [-2.393, 0.000, 6.949]], "species": ["Y", "Y", "Y", "Y", "Si", "Pb", "Se", "Se"], "frac_coords": [[0.241, 0.000, 0.235], [0.253, 0.500, 0.766], [0.747, 0.500, 0.234], [0.759, 0.000, 0.765], [0.000, 0.500, 0.000], [0.000, 0.000, 0.500], [0.500, 0.000, 0.000], [0.500, 0.500, 0.500]], "n_ef_per_ev_fu": 2.50, "raw_formation_energy_ev_per_fu": -9.7}